This record from the Alexandria database describes an optimized crystal structure of La4Ir3Pd. The functional is GGA-PBE.

a = 4.0020 Å, b = 4.3996 Å, c = 11.1359 Å
α = 90.00°, β = 90.00°, γ = 90.00°
Closest atoms and distances in Å follow each position.
Fractional coordinates of all 8 atoms:
La (0.0000, 0.5000, 0.8558)  5 Ir 2.97-3.04, 2 Pd 3.24
La (0.5000, 0.5000, 0.3707)  6 Ir 3.00-3.15, 1 Pd 3.19
La (0.5000, 0.0000, 0.6398)  7 Ir 3.03-3.28
La (0.0000, 0.0000, 0.1401)  3 Ir 2.96-3.21, 4 Pd 3.04
Ir (0.0000, 0.0000, 0.4060)  7 La 2.96-3.28, 2 Ir 3.00
Ir (0.5000, 0.0000, 0.9145)  2 Pd 2.90, 7 La 3.04-3.21
Ir (0.0000, 0.5000, 0.5888)  7 La 2.97-3.15, 2 Ir 3.00
Pd (0.5000, 0.5000, 0.0844)  2 Ir 2.90, 7 La 3.04-3.24

Computed properties:
* total magnetization: 0.0000 μB/atom
* calculated total energy: -0.5279 Ry per atom

This record from the Alexandria database describes an optimized crystal structure of La2IrPd. The functional is GGA-PBE.

a = 4.2384 Å, b = 4.2384 Å, c = 7.3085 Å
α = 73.14°, β = 73.14°, γ = 60.00°
Closest atoms and distances in Å follow each position.
Fractional coordinates of all 4 atoms:
La (0.7442, 0.7442, 0.7674)  3 Ir 2.92, 3 Pd 3.06
La (0.2558, 0.2558, 0.2326)  3 Ir 2.92, 3 Pd 3.06
Pd (0.5000, 0.5000, 0.5000)  6 La 3.06
Ir (0.0000, 0.0000, 0.0000)  6 La 2.92

Computed properties:
* total magnetization: 0.0000 μB/atom
* calculated total energy: -0.4926 Ry per atom

This record from the Alexandria database describes an optimized crystal structure of La2IrPd. The functional is GGA-PBE.

a = 3.6340 Å, b = 3.6340 Å, c = 7.2963 Å
α = 90.00°, β = 90.00°, γ = 90.00°
Closest atoms and distances in Å follow each position.
Fractional coordinates of all 4 atoms:
Ir (0.5000, 0.5000, 0.0000)  8 La 3.09
La (0.0000, 0.0000, 0.7637)  4 Ir 3.09, 4 Pd 3.21, 1 La 3.45
La (0.0000, 0.0000, 0.2363)  4 Ir 3.09, 4 Pd 3.21, 1 La 3.45
Pd (0.5000, 0.5000, 0.5000)  8 La 3.21

Computed properties:
* total magnetization: 0.0000 μB/atom
* calculated total energy: -0.4924 Ry per atom